The following is a DFT calculation (PBE) of crystalline Y2FeN at its relaxed geometry.

Values from the calculation:
D(E_F), states/eV per cell: 3.05
Polymorph energy (0 for the lowest one), eV per atom: 0.5130
Raw formation energy, eV/atom: 0.268
Magnetic moment, μB per cell: 1.06
Symmetry: Fm-3m

Unit cell a=4.599 b=4.599 c=4.599 alpha=60.00 beta=60.00 gamma=60.00
Element x y z (fractional)
Y (0.250, 0.250, 0.250)
Y (0.750, 0.750, 0.750)
Fe (0.000, 0.000, 0.000)
N (0.500, 0.500, 0.500)

***

The following is a DFT calculation (PBE) of crystalline BaAl4Pb at its relaxed geometry.

Values from the calculation:
D(E_F), states/eV per cell: 3.50
Energy of formation, meV/atom: 21
Magnetic moment, μB per cell: 0.00
Symmetry: F-43m

Unit cell a=5.917 b=5.917 c=5.917 alpha=60.00 beta=60.00 gamma=60.00
Element x y z (fractional)
Ba (0.000, 0.000, 0.000)
Al (0.376, 0.376, 0.376)
Al (0.376, 0.376, 0.871)
Al (0.376, 0.871, 0.376)
Al (0.871, 0.376, 0.376)
Pb (0.750, 0.750, 0.750)

***

The following is a DFT calculation (PBE) of crystalline Tb7Pm3Ho2 at its relaxed geometry.

Values from the calculation:
D(E_F), states/eV per cell: 16.78
Energy of formation, meV/atom: 17
Polymorph energy (0 for the lowest one), eV per atom: 0.0000
Magnetic moment, μB per cell: 0.00
Symmetry: Fmmm

Unit cell a=11.855 b=11.309 c=6.189 alpha=79.43 beta=69.69 gamma=30.88
Element x y z (fractional)
Tb (0.000, 0.000, 0.000)
Tb (0.084, 0.084, 0.416)
Tb (0.250, 0.250, 0.250)
Tb (0.416, 0.416, 0.084)
Tb (0.584, 0.584, 0.916)
Tb (0.750, 0.750, 0.750)
Tb (0.916, 0.916, 0.584)
Pm (0.167, 0.167, 0.833)
Pm (0.500, 0.500, 0.500)
Pm (0.833, 0.833, 0.167)
Ho (0.333, 0.333, 0.667)
Ho (0.667, 0.667, 0.333)

***

The following is a DFT calculation (PBE) of crystalline CaZrVGe2 at its relaxed geometry.

Values from the calculation:
D(E_F), states/eV per cell: 3.01
Energy of formation, meV/atom: 520
Magnetic moment, μB per cell: 0.00
Symmetry: P4/mmm

Unit cell a=4.784 b=4.784 c=4.686 alpha=90.00 beta=90.00 gamma=90.00
Element x y z (fractional)
Ca (0.000, 0.000, 0.000)
Zr (0.500, 0.500, 0.000)
V (0.000, 0.000, 0.500)
Ge (0.000, 0.500, 0.500)
Ge (0.500, 0.000, 0.500)

***

Here are the calculated electronic total energy numbers, same order: -7.161; -3.412; -4.635; -5.261 (eV/atom).